DFT (PBE-GGA) results for an optimized crystal structure of SmNbGa2.

Results
raw total energy: -22.18 eV/cell
ΔE_f: -0.335 eV per atom
calculated density: 7884 kg/m³
space group: P4/mmm

The structure in POSCAR format:
```
SmNbGa2
1.0
-0.087 3.332 1.271
-2.726 0.758 -2.173
-4.083 -1.818 4.489
Nb Ga Sm
1 2 1
Direct
0.500 0.500 0.000 Nb
0.000 0.000 0.798 Ga
0.000 0.000 0.202 Ga
0.500 0.500 0.500 Sm
```